{"formula": "TaHg", "functional": "PBE-GGA", "state": "relaxed", "formation_energy_ev_per_atom": 0.222, "total_magnetization_mub_per_atom": 0.000, "cell": [[1.766, -2.377, 0.000], [1.766, 2.377, 0.000], [0.000, 0.000, 9.518]], "species": ["Ta", "Ta", "Hg", "Hg"], "frac_coords": [[0.250, 0.750, 0.887], [0.750, 0.250, 0.113], [0.250, 0.750, 0.364], [0.750, 0.250, 0.636]]}